[1]
A plane-wave DFT calculation with PBE was carried out for an optimized crystal structure of Tb4Y6Sc.

Structure (extended XYZ):
```
22
Lattice="2.826 -4.803 0.000 2.826 4.803 0.000 0.000 0.000 25.632" Properties=species:S:1:pos:R:3 pbc="T T T"
Tb 2.826 4.594 15.928
Tb 2.826 4.594 22.519
Tb 2.826 1.533 13.933
Tb 2.826 1.533 24.515
Tb 2.826 -1.533 1.117
Tb 2.826 -1.533 11.699
Tb 2.826 -4.594 3.112
Tb 2.826 -4.594 9.703
Y 0.000 0.000 0.000
Y 0.000 0.000 12.816
Y 2.826 4.667 19.224
Y 2.826 1.772 2.753
Y 2.826 1.772 10.063
Y 2.826 1.439 17.501
Y 2.826 1.439 20.947
Y 2.826 -1.439 4.685
Y 2.826 -1.439 8.131
Y 2.826 -1.772 15.569
Y 2.826 -1.772 22.879
Y 2.826 -4.667 6.408
Sc 2.826 1.728 6.408
Sc 2.826 -1.728 19.224
```

Properties
* E_form: 0.133 eV/atom
* magnetic moment: 0.0 μB/f.u.



[2]
A plane-wave DFT calculation with PBE was carried out for an optimized crystal structure of Li2AgHgAs.

Structure (extended XYZ):
```
5
Lattice="4.929 0.000 0.000 0.000 4.929 0.000 0.000 0.000 4.987" Properties=species:S:1:pos:R:3 pbc="T T T"
Li 0.000 2.465 0.000
Li 2.465 0.000 0.000
Ag 0.000 0.000 2.493
Hg 2.465 2.465 2.493
As 0.000 0.000 0.000
```

Properties
* E_form: -0.245 eV/atom
* magnetic moment: 0.0 μB/f.u.



[3]
A plane-wave DFT calculation with PBE was carried out for an optimized crystal structure of TbTi2W.

Structure (extended XYZ):
```
4
Lattice="3.296 0.000 0.000 0.000 3.296 0.000 0.000 0.000 7.314" Properties=species:S:1:pos:R:3 pbc="T T T"
Tb 0.000 0.000 0.000
Ti 1.648 1.648 2.241
Ti 1.648 1.648 5.073
W 0.000 0.000 3.657
```

Properties
* E_form: 0.125 eV/atom
* magnetic moment: 0.0 μB/f.u.



[4]
A plane-wave DFT calculation with PBE was carried out for an optimized crystal structure of TlCr2AgCl.

Structure (extended XYZ):
```
5
Lattice="4.609 0.000 0.000 0.000 4.609 0.000 0.000 0.000 5.830" Properties=species:S:1:pos:R:3 pbc="T T T"
Tl 0.000 0.000 0.000
Cr 0.000 2.305 2.915
Cr 2.305 0.000 2.915
Ag 2.305 2.305 0.000
Cl 0.000 0.000 2.915
```

Properties
* energy relative to the elements, uncorrected: 0.7567 eV per atom
* magnetic moment: 8.6 μB/f.u.